# YHoAsS

YHoAsS after structural relaxation (PBE, Alexandria via LeMat-Bulk).

Cell: 3.9492 3.9494 7.2983 Å, 90.00 105.68 120.00°
Fractional coordinates of all 4 atoms:
Y1 0.9618 0.3790 0.3559
As1 0.1320 0.9640 0.1112
S1 0.4740 0.1350 0.6243
Ho1 0.3100 0.5529 0.8783

For the volume, the calculation gives 93.7 Å³ per cell. The uncorrected formation energy comes out at -1.68 eV per atom. The calculation puts the total moment at 0.0 Bohr magnetons per cell. As for the space group: R3m, No. 160.

# Ho4SbAs3

Ho4SbAs3 after structural relaxation (PBE, Alexandria via LeMat-Bulk).

Cell: 4.1597 7.2263 7.2263 Å, 70.65 90.00 90.00°
Fractional coordinates of all 8 atoms:
Ho1 0.0000 0.7615 0.7386
As1 0.0000 0.0001 0.0000
Sb1 0.5000 0.5001 0.0000
Ho2 0.0000 0.2388 0.2613
As2 0.0000 0.5001 0.5000
As3 0.5000 0.0001 0.5000
Ho3 0.5002 0.7556 0.2554
Ho4 0.4997 0.2447 0.7445

For the volume, the calculation gives 204.9 Å³ per cell. The uncorrected formation energy comes out at -1.40 eV per atom. The calculation puts the total moment at 0.0 Bohr magnetons per cell. As for the space group: Cmmm, No. 65.

# Ho4Sb3As

Ho4Sb3As after structural relaxation (PBE, Alexandria via LeMat-Bulk).

Cell: 6.0886 6.0886 6.0886 Å, 90.00 90.00 90.00°
Fractional coordinates of all 8 atoms:
Sb1 0.5000 0.5000 0.0000
As1 0.0000 0.0000 0.0000
Ho1 0.5000 0.0000 0.0000
Sb2 0.5000 0.0000 0.5000
Ho2 0.0000 0.0000 0.5000
Ho3 0.0000 0.5000 0.0000
Sb3 0.0000 0.5000 0.5000
Ho4 0.5000 0.5000 0.5000

For the volume, the calculation gives 225.7 Å³ per cell. The uncorrected formation energy comes out at -1.18 eV per atom. The calculation puts the total moment at 0.0 Bohr magnetons per cell. As for the space group: Pm-3m, No. 221. For the energy above the most stable polymorph in this dataset, the calculation gives 13 meV per atom.